Entry 1:
Entry from Alexandria via LeMat-Bulk: a relaxed Y3PBr3 crystal (PBE-GGA).

Results
For the formation energy (no corrections), the calculation gives -1615 meV per atom. The calculation puts the density of states at the Fermi level at 4.391 states/eV per cell.

The structure in extended XYZ format:
```
14
Lattice="-2.840 3.555 5.151 0.676 -2.200 6.477 8.241 6.159 4.879" Properties=species:S:1:pos:R:3 pbc="T T T"
Y -1.345 3.615 7.492
Y 0.066 0.955 10.021
Y 0.749 0.560 6.168
Y 5.328 6.955 10.338
Y 6.011 6.560 6.486
Y 7.422 3.900 9.015
P -1.443 0.904 7.752
P 7.520 6.611 8.755
Br 2.543 0.761 8.493
Br 1.127 3.440 5.903
Br 0.418 3.869 9.802
Br 5.659 3.646 6.705
Br 4.950 4.075 10.604
Br 3.534 6.753 8.014
```


Entry 2:
Entry from Alexandria via LeMat-Bulk: a relaxed Ba2CoP crystal (PBE-GGA).

Results
The calculation puts the density of states at the Fermi level at 0.639 states/eV per cell. Its formation energy is 214 meV per atom.

The structure in extended XYZ format:
```
8
Lattice="-4.467 7.286 0.334 -7.289 -4.473 0.092 -5.755 1.291 4.364" Properties=species:S:1:pos:R:3 pbc="T T T"
P -5.878 1.406 0.213
P -9.461 -0.888 2.334
Co 0.000 0.000 0.000
Co -8.050 4.992 2.456
Ba -5.031 4.136 1.303
Ba -6.664 -1.381 1.199
Ba -8.906 1.912 3.435
Ba -14.421 3.541 3.644
```